Record 1
Below is ErIrRu after structural relaxation, with properties calculated at the PBE-GGA level.

Cell lengths 5.179, 5.395, 7.644 Å; angles 90.00, 90.00, 90.00 degrees
Space group Imma (No. 74)
Symmetry-distinct sites (fractional):
Er  0.000  0.250  0.123
Ir  0.000  0.000  0.500
Ru  0.250  0.250  0.750

Record 2
Below is Mn4InP after structural relaxation, with properties calculated at the PBE-GGA level.

Cell lengths 6.896, 6.896, 6.896 Å; angles 90.00, 90.00, 90.00 degrees
Space group F-43m (No. 216)
Symmetry-distinct sites (fractional):
Mn  0.125  0.125  0.125
In  0.250  0.250  0.750
P  0.000  0.000  0.500

no.,ΔH_f (0 K) (eV/f.u.)
1,-1.79
2,2.47